1.
VASP calculation (GGA-PBE) on a geometry-optimized PmHoAu3 structure.

abc: 5.292 6.184 8.453
angles: 116.20 108.24 90.00
Element x y z (fractional)
Au: 0.001 0.756 0.002
Ho: 0.185 0.761 0.371
Pm: 0.595 0.289 0.190
Pm: 0.405 0.711 0.810
Au: 0.381 0.176 0.763
Au: 0.619 0.824 0.237
Ho: 0.815 0.239 0.629
Au: 0.210 0.299 0.421
Au: 0.790 0.701 0.579
Au: 0.999 0.244 0.998

Results
The space group is C2/m, No. 12. As for the calculated formation energy: -0.75 eV per atom.


2.
VASP calculation (GGA-PBE) on a geometry-optimized SbBrCl structure.

abc: 4.979 4.979 4.979
angles: 60.00 60.00 60.00
Element x y z (fractional)
Sb: 0.000 0.000 0.000
Br: 0.500 0.500 0.500
Cl: 0.750 0.750 0.750

Results
Its formation energy from raw total energies is 0.29 eV per atom. The space group is F-43m, No. 216. For the energy above the most stable polymorph in this dataset, the calculation gives 0.874 eV per atom.


3.
VASP calculation (GGA-PBE) on a geometry-optimized Li5Ge2Au12 structure.

abc: 5.467 8.150 8.834
angles: 107.28 90.00 109.60
Element x y z (fractional)
Au: 0.904 0.305 0.599
Au: 0.079 0.158 0.279
Au: 0.945 0.388 0.114
Li: 0.648 0.295 0.856
Au: 0.557 0.612 0.886
Au: 0.096 0.695 0.401
Au: 0.921 0.842 0.721
Ge: 0.261 0.000 0.000
Au: 0.513 0.027 0.341
Au: 0.055 0.612 0.886
Li: 0.692 0.384 0.371
Au: 0.487 0.973 0.659
Li: 0.000 0.000 0.500
Au: 0.443 0.388 0.114
Au: 0.599 0.695 0.401
Li: 0.352 0.705 0.144
Li: 0.308 0.616 0.629
Ge: 0.739 0.000 0.000
Au: 0.401 0.305 0.599

Results
The space group is C2/m, No. 12. As for the calculated formation energy: -0.20 eV per atom.


4.
VASP calculation (GGA-PBE) on a geometry-optimized BaAs structure.

abc: 5.580 5.580 5.580
angles: 60.00 60.00 60.00
Element x y z (fractional)
As: 0.250 0.250 0.250
Ba: 0.500 0.500 0.500
Ba: 0.750 0.750 0.750
As: 0.000 0.000 0.000

Results
The space group is Fd-3m, No. 227. As for the calculated formation energy: -0.32 eV per atom.


5.
VASP calculation (GGA-PBE) on a geometry-optimized Pm4Tl2HgAu structure.

abc: 5.410 5.410 9.367
angles: 73.21 73.21 60.00
Each line ends with the local moment (μB).
Element x y z (fractional)
Tl: 0.253 0.253 0.240  0.00
Tl: 0.747 0.747 0.760  0.00
Au: 0.500 0.500 0.500  0.04
Pm: 0.621 0.621 0.137  0.14
Hg: 0.000 0.000 0.000  0.01
Pm: 0.129 0.129 0.614  0.20
Pm: 0.871 0.871 0.386  0.20
Pm: 0.379 0.379 0.863  0.14

Results
The space group is R-3m, No. 166. As for the calculated formation energy: -0.49 eV per atom.


6.
VASP calculation (GGA-PBE) on a geometry-optimized Li2Si2Ag structure.

abc: 7.032 7.032 3.081
angles: 90.00 90.00 90.00
Element x y z (fractional)
Si: 0.881 0.619 0.000
Si: 0.381 0.881 0.000
Si: 0.619 0.119 0.000
Li: 0.318 0.182 0.500
Li: 0.818 0.318 0.500
Si: 0.119 0.381 0.000
Ag: 0.000 0.000 0.000
Li: 0.682 0.818 0.500
Ag: 0.500 0.500 0.000
Li: 0.182 0.682 0.500

Results
Its formation energy from raw total energies is -0.06 eV per atom. The space group is P4/mbm, No. 127. For the energy above the most stable polymorph in this dataset, the calculation gives 0.000 eV per atom.


Repeat the second record exactly.
VASP calculation (GGA-PBE) on a geometry-optimized SbBrCl structure.

abc: 4.979 4.979 4.979
angles: 60.00 60.00 60.00
Element x y z (fractional)
Sb: 0.000 0.000 0.000
Br: 0.500 0.500 0.500
Cl: 0.750 0.750 0.750

Results
Its formation energy from raw total energies is 0.29 eV per atom. The space group is F-43m, No. 216. For the energy above the most stable polymorph in this dataset, the calculation gives 0.874 eV per atom.


- What is the formula in the second record?
  SbBrCl


What did the second record say?
VASP calculation (GGA-PBE) on a geometry-optimized SbBrCl structure.

abc: 4.979 4.979 4.979
angles: 60.00 60.00 60.00
Element x y z (fractional)
Sb: 0.000 0.000 0.000
Br: 0.500 0.500 0.500
Cl: 0.750 0.750 0.750

Results
Its formation energy from raw total energies is 0.29 eV per atom. The space group is F-43m, No. 216. For the energy above the most stable polymorph in this dataset, the calculation gives 0.874 eV per atom.